Computed, not measured: a relaxed structure of PmHo4Hg7 at the PBE level of DFT.

```
12
Lattice="5.563 0.000 0.000 2.781 9.282 -0.069 2.781 0.244 6.304" Properties=species:S:1:pos:R:3 pbc="T T T"
Hg 8.344 8.588 3.137
Hg 2.781 0.000 0.000
Hg 5.563 5.200 4.654
Hg 5.563 4.325 1.582
Hg 8.344 3.344 4.992
Hg 2.781 0.938 3.099
Hg 2.781 6.182 1.243
Ho 5.563 7.298 2.408
Ho 5.563 2.228 3.827
Ho 8.344 6.457 5.329
Ho 2.781 3.068 0.907
Pm 0.000 0.000 0.000
```

Summary:
* VASP energy: -28.8 eV/cell

Computed, not measured: a relaxed structure of SrCaNi10 at the PBE level of DFT.

```
12
Lattice="3.938 0.000 0.000 0.000 4.996 0.000 0.000 0.000 8.656" Properties=species:S:1:pos:R:3 pbc="T T T"
Ni 1.969 1.261 6.450
Ni 1.969 0.000 4.328
Ni 1.969 3.735 6.450
Ni 1.969 2.498 0.000
Ni 0.000 0.000 5.719
Ni 0.000 2.498 1.504
Ni 1.969 1.261 2.207
Ni 1.969 3.735 2.207
Ni 0.000 0.000 2.937
Ni 0.000 2.498 7.152
Ca 0.000 2.498 4.328
Sr 0.000 0.000 0.000
```

Summary:
* VASP energy: -62.2 eV/cell